Run P
Compound: Pm2Sm12Y5
Source: the Alexandria database
Functional: PBE-GGA
Structure: optimized geometry

Computed properties:
DOS at the Fermi energy	1.484	states/eV per atom

Geometry as POSCAR:
```
Pm2Sm12Y5
1.0
7.949 -4.638 0.000
7.949 4.638 0.000
-0.326 0.000 8.757
Pm Sm Y
2 12 5
direct
0.172 0.828 0.000
0.828 0.172 0.000
0.059 0.059 0.343
0.066 0.675 0.325
0.169 0.530 0.761
0.325 0.934 0.675
0.421 0.421 0.119
0.470 0.831 0.239
0.530 0.169 0.761
0.579 0.579 0.881
0.675 0.066 0.325
0.831 0.470 0.239
0.934 0.325 0.675
0.941 0.941 0.657
0.205 0.205 0.028
0.268 0.268 0.432
0.500 0.500 0.500
0.732 0.732 0.568
0.795 0.795 0.972
```

Run Q
Compound: Pm2Sm12Y5
Source: the Alexandria database
Functional: PBE-GGA
Structure: optimized geometry

Computed properties:
DOS at the Fermi energy	1.429	states/eV per atom

Geometry as POSCAR:
```
Pm2Sm12Y5
1.0
11.122 -3.562 0.000
11.122 3.562 0.000
-2.928 0.000 8.238
Pm Sm Y
2 12 5
direct
0.247 0.753 0.000
0.753 0.247 0.000
0.047 0.555 0.206
0.048 0.048 0.692
0.136 0.650 0.614
0.350 0.864 0.386
0.352 0.352 0.927
0.445 0.953 0.794
0.555 0.047 0.206
0.648 0.648 0.073
0.650 0.136 0.614
0.864 0.350 0.386
0.952 0.952 0.308
0.953 0.445 0.794
0.152 0.152 0.097
0.251 0.251 0.508
0.500 0.500 0.500
0.749 0.749 0.492
0.848 0.848 0.903
```

The winner here is run P, beating the second structure by 9 meV per atom.

Run P
Compound: Pm5SmY
Source: the Alexandria database
Functional: PBE-GGA
Structure: optimized geometry

Computed properties:
DOS at the Fermi energy	1.550	states/eV per atom

Geometry as POSCAR:
```
Pm5SmY
1.0
3.628 -11.663 0.000
3.628 11.663 0.000
-3.208 0.000 5.824
Pm Sm Y
10 2 2
direct
0.008 0.453 0.735
0.123 0.877 0.750
0.219 0.272 0.982
0.272 0.219 0.482
0.453 0.008 0.235
0.547 0.992 0.765
0.728 0.781 0.518
0.781 0.728 0.018
0.877 0.123 0.250
0.992 0.547 0.265
0.348 0.652 0.250
0.652 0.348 0.750
0.400 0.600 0.750
0.600 0.400 0.250
```

Run Q
Compound: Pm5SmY
Source: the Alexandria database
Functional: PBE-GGA
Structure: optimized geometry

Computed properties:
DOS at the Fermi energy	1.858	states/eV per atom

Geometry as POSCAR:
```
Pm5SmY
1.0
-2.952 4.376 6.048
2.952 -4.376 6.048
2.952 4.376 -6.048
Pm Sm Y
5 1 1
direct
0.000 0.000 0.000
0.247 0.747 0.500
0.323 0.500 0.823
0.677 0.500 0.177
0.753 0.253 0.500
0.000 0.500 0.500
0.500 0.000 0.500
```

The winner here is run P, beating the second structure by 828 meV per atom.